# 1
Tm8Tl2Pd, relaxed, DFT PBE; total magnetic moment = 0.00 μB/atom; mass density = 10.21 Mg/m³; electronic total energy = -4.4102 eV/atom; Fermi-level density of states = 9.48 states/eV per cell; energy of formation = -256 meV/atom
1.0
5.012 0.000 0.000
0.000 6.676 0.513
-2.506 -2.129 8.911
Pd Tl Tm
1 2 8
direct
0.500 0.000 0.000
0.811 0.238 0.623
0.189 0.762 0.377
0.794 0.683 0.588
0.591 0.469 0.181
0.409 0.531 0.819
0.206 0.317 0.412
0.647 0.991 0.294
0.015 0.766 0.030
0.985 0.234 0.970
0.353 0.009 0.706



# 2
Tm12TlPd6, relaxed, DFT PBE; ΔE to the lowest computed polymorph = 109.9 meV/atom; total magnetic moment = 0.00 μB/atom; mass density = 9.55 Mg/m³; electronic total energy = -5.1071 eV/atom; Fermi-level density of states = 15.60 states/eV per cell; energy of formation = -519 meV/atom
1.0
-1.716 0.694 -8.374
8.509 -0.075 1.065
-3.194 -7.429 2.855
Tm Pd Tl
12 6 1
direct
0.555 0.853 0.617
0.327 0.034 0.861
0.034 0.861 0.327
0.139 0.673 0.966
0.617 0.555 0.853
0.445 0.147 0.383
0.673 0.966 0.139
0.966 0.139 0.673
0.383 0.445 0.147
0.147 0.383 0.445
0.853 0.617 0.555
0.861 0.327 0.034
0.782 0.353 0.707
0.647 0.293 0.218
0.293 0.218 0.647
0.353 0.707 0.782
0.218 0.647 0.293
0.707 0.782 0.353
0.000 0.000 0.000



# 3
TmTl2Pd8, relaxed, DFT PBE; total magnetic moment = 0.00 μB/atom; mass density = 12.37 Mg/m³; electronic total energy = -5.0177 eV/atom; Fermi-level density of states = 5.15 states/eV per cell; energy of formation = -404 meV/atom
1.0
4.170 0.000 0.000
0.000 6.524 0.266
-2.085 -2.506 6.952
Tl Pd Tm
2 8 1
direct
0.781 0.342 0.561
0.219 0.658 0.439
0.410 0.541 0.821
0.961 0.276 0.922
0.137 0.188 0.274
0.863 0.812 0.726
0.678 0.913 0.355
0.590 0.459 0.179
0.039 0.724 0.078
0.322 0.087 0.645
0.500 0.000 0.000



# 4
Tm3Tl2Pd8, relaxed, DFT PBE; total magnetic moment = 0.00 μB/atom; mass density = 11.29 Mg/m³; electronic total energy = -5.0767 eV/atom; Fermi-level density of states = 6.94 states/eV per cell; energy of formation = -485 meV/atom
1.0
5.435 0.000 0.000
2.718 4.707 0.000
2.718 1.569 10.157
Tm Pd Tl
3 8 2
direct
0.000 0.000 0.000
0.810 0.810 0.569
0.190 0.190 0.431
0.727 0.222 0.325
0.273 0.273 0.675
0.727 0.727 0.325
0.280 0.280 0.160
0.720 0.720 0.840
0.222 0.727 0.325
0.778 0.273 0.675
0.273 0.778 0.675
0.368 0.368 0.897
0.632 0.632 0.103



# 5
Tm4Tl3Pd, relaxed, DFT PBE; ΔE to the lowest computed polymorph = 0.0 meV/atom; total magnetic moment = 0.02 μB/atom; mass density = 11.56 Mg/m³; electronic total energy = -4.2386 eV/atom; Fermi-level density of states = 4.90 states/eV per cell; energy of formation = -466 meV/atom
1.0
3.580 0.000 0.000
0.000 3.580 0.000
0.000 0.000 15.634
Tm Tl Pd
4 3 1
direct
0.000 0.000 0.105
0.000 0.000 0.895
0.000 0.000 0.632
0.000 0.000 0.368
0.500 0.500 0.500
0.500 0.500 0.239
0.500 0.500 0.761
0.500 0.500 0.000



# 6
TmTl2Pd, relaxed, DFT PBE; total magnetic moment = 0.00 μB/atom; mass density = 10.74 Mg/m³; electronic total energy = -3.5231 eV/atom; Fermi-level density of states = 2.31 states/eV per cell; energy of formation = 76 meV/atom
1.0
3.427 0.000 0.000
1.714 2.968 0.000
1.714 0.989 10.399
Tm Pd Tl
1 1 2
direct
0.000 0.000 0.000
0.500 0.500 0.500
0.099 0.099 0.702
0.901 0.901 0.298



# 7
Tm2TlPd6, relaxed, DFT PBE; total magnetic moment = 0.00 μB/atom; mass density = 11.03 Mg/m³; electronic total energy = -5.1919 eV/atom; Fermi-level density of states = 3.46 states/eV per cell; energy of formation = -473 meV/atom
1.0
-3.222 -0.342 -0.531
1.207 -7.244 -2.662
0.194 1.299 8.013
Pd Tl Tm
6 1 2
direct
0.831 0.042 0.666
0.500 0.704 0.000
0.831 0.624 0.666
0.169 0.958 0.334
0.500 0.296 0.000
0.169 0.376 0.334
0.000 0.000 0.000
0.670 0.665 0.330
0.330 0.335 0.670



# 8
TmTl2Pd, relaxed, DFT PBE; total magnetic moment = 0.00 μB/atom; mass density = 12.33 Mg/m³; electronic total energy = -3.8872 eV/atom; Fermi-level density of states = 2.46 states/eV per cell; energy of formation = -288 meV/atom
1.0
-1.565 4.458 0.439
-3.267 -0.869 -2.827
-2.575 -1.234 3.356
Tm Tl Pd
1 2 1
direct
0.500 0.500 0.500
0.000 0.000 0.500
0.000 0.500 0.000
0.500 0.000 0.000



# 9
Tm2Tl2Pd5, relaxed, DFT PBE; total magnetic moment = 0.00 μB/atom; mass density = 11.89 Mg/m³; electronic total energy = -4.8845 eV/atom; Fermi-level density of states = 9.10 states/eV per cell; energy of formation = -480 meV/atom
1.0
5.468 0.000 0.000
0.000 9.144 0.000
-2.734 -4.572 7.146
Tm Pd Tl
4 10 4
direct
0.100 0.691 0.252
0.900 0.439 0.748
0.348 0.939 0.748
0.652 0.191 0.252
0.198 0.265 0.908
0.408 0.470 0.303
0.001 0.571 0.500
0.395 0.970 0.303
0.999 0.071 0.500
0.211 0.765 0.908
0.802 0.356 0.092
0.789 0.856 0.092
0.605 0.666 0.697
0.592 0.166 0.697
0.500 0.557 0.000
0.714 0.821 0.500
0.286 0.321 0.500
0.000 0.057 0.000



# 10
TmTl2Pd5, relaxed, DFT PBE; total magnetic moment = 0.00 μB/atom; mass density = 12.56 Mg/m³; electronic total energy = -4.8624 eV/atom; Fermi-level density of states = 3.84 states/eV per cell; energy of formation = -466 meV/atom
1.0
-2.409 1.694 3.108
-3.530 -0.861 -2.266
2.462 -7.586 3.094
Pd Tl Tm
5 2 1
direct
0.378 0.878 0.756
0.122 0.622 0.244
0.878 0.378 0.756
0.500 0.500 0.000
0.622 0.122 0.244
0.258 0.258 0.516
0.742 0.742 0.484
0.000 0.000 0.000



# 11
YTmTlPd, relaxed, DFT PBE; total magnetic moment = 0.00 μB/atom; mass density = 9.79 Mg/m³; electronic total energy = -5.1851 eV/atom; Fermi-level density of states = 3.77 states/eV per cell; energy of formation = -561 meV/atom
1.0
-4.599 -2.232 -0.604
-1.204 -2.244 -4.474
-0.354 -5.127 -0.295
Tl Y Tm Pd
1 1 1 1
direct
0.000 0.000 0.000
0.750 0.750 0.750
0.250 0.250 0.250
0.500 0.500 0.500



# 12
TmTlZnPd, relaxed, DFT PBE; total magnetic moment = 0.00 μB/atom; mass density = 11.39 Mg/m³; electronic total energy = -3.7394 eV/atom; Fermi-level density of states = 2.46 states/eV per cell; energy of formation = -413 meV/atom
1.0
4.826 0.000 0.000
2.413 4.179 0.000
2.413 1.393 3.940
Pd Tm Tl Zn
1 1 1 1
direct
0.500 0.500 0.500
0.750 0.750 0.750
0.250 0.250 0.250
0.000 0.000 0.000



- Which of these has the highest energy of formation?
  number 6



- Which of these has the highest Fermi-level density of states?
  Tm12TlPd6